# NaHo2Co (PBE, relaxed)
data_NaHo2Co
_cell_length_a 3.784
_cell_length_b 3.784
_cell_length_c 10.459
_cell_angle_alpha 79.58
_cell_angle_beta 79.58
_cell_angle_gamma 60.00
_symmetry_space_group_name_H-M 'P 1'
_symmetry_Int_Tables_number 1
_symmetry_space_group_name_Hall 'P 1'
loop_
_atom_site_label
_atom_site_type_symbol
_atom_site_fract_x
_atom_site_fract_y
_atom_site_fract_z
Ho1 Ho 0.120 0.120 0.641
Co1 Co 0.500 0.500 0.500
Na1 Na 0.000 0.000 0.000
Ho2 Ho 0.880 0.880 0.359
# - magnetic moment (μB per formula unit) = 0.00
# - offset from the most stable computed form (kJ/mol of atoms) = 7.0
# - E (eV per formula unit) = -17.46
# - crystal system = trigonal
# - calculated formation energy (eV/atom) = 0.03